Here is an optimized crystal structure of ZnCr2O4 from Alexandria via LeMat-Bulk. Energies are from PBE+U.

extended XYZ file:
```
14
Lattice="1.494 7.264 -0.035 -1.494 7.264 -0.035 0.000 6.087 7.220" Properties=species:S:1:pos:R:3 pbc="T T T"
O 0.000 8.278 1.817
O 0.000 13.132 0.594
O 0.000 14.909 4.161
O 0.000 12.337 5.333
O 0.000 5.706 2.989
O 0.000 7.483 6.556
O 0.000 17.153 5.999
O 0.000 3.462 1.150
Zn 0.000 11.706 2.196
Zn 0.000 8.909 4.954
Cr 0.000 6.249 4.942
Cr 0.000 11.127 6.864
Cr 0.000 14.366 2.208
Cr 0.000 9.487 0.286
```

Values from the calculation:
DOS(E_F), states/eV/f.u.: 0.00
M_tot, Bohr magnetons per cell: 12.000
VASP energy, eV per cell: -95.55
Crystal system: monoclinic